{"formula": "KCdAsO", "functional": "PBE-GGA", "state": "relaxed", "lattice_angstrom": [[4.252, 0.000, 0.000], [0.000, 4.766, 0.000], [0.000, 0.000, 7.984]], "species": ["As", "As", "Cd", "Cd", "K", "K", "O", "O"], "frac_coords": [[0.000, 0.250, 0.304], [0.000, 0.750, 0.804], [0.000, 0.751, 0.138], [0.000, 0.249, 0.638], [0.500, 0.748, 0.481], [0.500, 0.252, 0.981], [0.500, 0.247, 0.330], [0.500, 0.753, 0.830]], "crystal_system": "orthorhombic", "total_energy_ev_per_atom": -3.4536}

{"formula": "KCdAsO", "functional": "PBE-GGA", "state": "relaxed", "lattice_angstrom": [[4.367, 0.000, 0.000], [0.000, 4.367, 0.000], [0.000, 0.000, 9.650]], "species": ["As", "As", "Cd", "Cd", "K", "K", "O", "O"], "frac_coords": [[0.000, 0.500, 0.241], [0.500, 0.000, 0.759], [0.500, 0.000, 0.077], [0.000, 0.500, 0.923], [0.000, 0.000, 0.500], [0.500, 0.500, 0.500], [0.000, 0.000, 0.000], [0.500, 0.500, 0.000]], "crystal_system": "tetragonal", "total_energy_ev_per_atom": -2.7823}